Record 1
DFT (GGA-PBE) results for LiGe3Pd2 after structural relaxation.

It has space group P-3m1 (No. 164), with a = 6.0085 Å, b = 6.0085 Å, c = 6.2117 Å, α = 90.00°, β = 90.00° and γ = 120.00°. Symmetry generates all atoms from Li at (0.3333, 0.6667, 0.3271), Ge at (0.1708, 0.3416, 0.6844), Pd at (0.0000, 0.0000, 0.0000) and Pd at (0.0000, 0.5000, 0.0000).

As for the formation enthalpy at 0 K: -282 meV per atom.

Record 2
DFT (GGA-PBE) results for AcTb12Pr3 after structural relaxation.

It has space group P4/mmm (No. 123), with a = 5.112 Å, b = 5.112 Å, c = 20.453 Å, α = 90.00°, β = 90.00° and γ = 90.00°. Symmetry generates all atoms from Ac at (0.000, 0.000, 0.000), Tb at (0.000, 0.500, 0.129), Tb at (0.000, 0.500, 0.376), Tb at (0.500, 0.500, 0.000), Tb at (0.500, 0.500, 0.252), Tb at (0.500, 0.500, 0.500), Pr at (0.000, 0.000, 0.251) and Pr at (0.000, 0.000, 0.500).

As for the formation enthalpy at 0 K: 28 meV per atom.

Record 3
DFT (GGA-PBE) results for TaNbRu3 after structural relaxation.

It has space group Pm-3m (No. 221), with a = 4.630 Å, b = 4.630 Å, c = 4.630 Å, α = 90.00°, β = 90.00° and γ = 90.00°. Symmetry generates all atoms from Ta at (0.000, 0.000, 0.000), Nb at (0.500, 0.500, 0.500) and Ru at (0.000, 0.000, 0.500).

As for the formation enthalpy at 0 K: 1386 meV per atom.

Record 4
DFT (GGA-PBE) results for SrMg9Ag2 after structural relaxation.

It has space group P6/mmm (No. 191), with a = 9.7191 Å, b = 9.7191 Å, c = 3.4978 Å, α = 90.00°, β = 90.00° and γ = 120.00°. Symmetry generates all atoms from Sr at (0.0000, 0.0000, 0.0000), Mg at (0.0000, 0.5000, 0.0000), Mg at (0.1928, 0.3856, 0.5000) and Ag at (0.3333, 0.6667, 0.0000).

As for the formation enthalpy at 0 K: -91 meV per atom.

Record 5
DFT (GGA-PBE) results for AgMoRu2 after structural relaxation.

It has space group F-43m (No. 216), with a = 6.276 Å, b = 6.276 Å, c = 6.276 Å, α = 90.00°, β = 90.00° and γ = 90.00°. Symmetry generates all atoms from Ag at (0.000, 0.000, 0.000), Mo at (0.250, 0.250, 0.750), Ru at (0.000, 0.000, 0.500) and Ru at (0.250, 0.250, 0.250).

As for the formation enthalpy at 0 K: 678 meV per atom.

Record 6
DFT (GGA-PBE) results for CaW3C after structural relaxation.

It has space group Pm-3m (No. 221), with a = 4.297 Å, b = 4.297 Å, c = 4.297 Å, α = 90.00°, β = 90.00° and γ = 90.00°. Symmetry generates all atoms from Ca at (0.000, 0.000, 0.000), W at (0.000, 0.500, 0.500) and C at (0.500, 0.500, 0.500).

As for the formation enthalpy at 0 K: 604 meV per atom.

Copy entry 1 word for word.
DFT (GGA-PBE) results for LiGe3Pd2 after structural relaxation.

It has space group P-3m1 (No. 164), with a = 6.0085 Å, b = 6.0085 Å, c = 6.2117 Å, α = 90.00°, β = 90.00° and γ = 120.00°. Symmetry generates all atoms from Li at (0.3333, 0.6667, 0.3271), Ge at (0.1708, 0.3416, 0.6844), Pd at (0.0000, 0.0000, 0.0000) and Pd at (0.0000, 0.5000, 0.0000).

As for the formation enthalpy at 0 K: -282 meV per atom.